{"formula": "LiCd2Br5", "functional": "GGA-PBE", "state": "optimized geometry", "m_tot_mub_per_cell": 0.000, "e_tot_ev_per_atom": -2.44, "e_form_raw_mev_per_atom": -927, "lattice_angstrom": [[6.6393, -3.7307, 0.0000], [6.6393, 3.7307, 0.0000], [-3.3605, 0.0000, 5.9976]], "species": ["Li", "Cd", "Cd", "Br", "Br", "Br", "Br", "Br"], "frac_coords": [[0.0000, 0.0000, 0.0000], [0.0414, 0.0414, 0.5720], [0.4362, 0.4362, 0.9802], [0.1519, 0.6714, 0.6766], [0.2316, 0.2316, 0.9733], [0.3124, 0.8201, 0.3032], [0.6714, 0.1519, 0.6766], [0.8201, 0.3124, 0.3032]]}

{"formula": "Li2CdBr", "functional": "GGA-PBE", "state": "optimized geometry", "m_tot_mub_per_cell": 0.000, "e_tot_ev_per_atom": -2.29, "e_form_raw_mev_per_atom": -685, "lattice_angstrom": [[3.5473, 0.0000, 0.0000], [-1.7737, 3.0721, 0.0000], [0.0000, 0.0000, 8.1865]], "species": ["Li", "Li", "Cd", "Br"], "frac_coords": [[0.3333, 0.6667, 0.2047], [0.6667, 0.3333, 0.7953], [0.0000, 0.0000, 0.5000], [0.0000, 0.0000, 0.0000]]}

{"formula": "Li2CdBr", "functional": "GGA-PBE", "state": "optimized geometry", "m_tot_mub_per_cell": 0.000, "e_tot_ev_per_atom": -2.29, "e_form_raw_mev_per_atom": -687, "lattice_angstrom": [[-1.8776, 1.8776, 6.5042], [1.8776, -1.8776, 6.5042], [1.8776, 1.8776, -6.5042]], "species": ["Li", "Li", "Cd", "Br"], "frac_coords": [[0.1169, 0.1169, 0.0000], [0.8831, 0.8831, 0.0000], [0.5000, 0.5000, 0.0000], [0.7500, 0.2500, 0.5000]]}

{"formula": "LiCd2Br", "functional": "GGA-PBE", "state": "optimized geometry", "m_tot_mub_per_cell": 0.000, "e_tot_ev_per_atom": -1.71, "e_form_raw_mev_per_atom": -358, "lattice_angstrom": [[-4.4608, 4.4608, 2.7657], [4.4608, -4.4608, 2.7657], [4.4608, 4.4608, -2.7657]], "species": ["Li", "Li", "Cd", "Cd", "Cd", "Cd", "Br", "Br"], "frac_coords": [[0.0000, 0.0000, 0.0000], [0.7500, 0.2500, 0.5000], [0.1333, 0.6250, 0.0083], [0.3750, 0.3833, 0.5083], [0.6167, 0.1250, 0.9917], [0.8750, 0.8667, 0.4917], [0.2500, 0.7500, 0.5000], [0.5000, 0.5000, 0.0000]]}

{"formula": "LiCd2Br", "functional": "GGA-PBE", "state": "optimized geometry", "m_tot_mub_per_cell": 0.000, "e_tot_ev_per_atom": -1.84, "e_form_raw_mev_per_atom": -489, "lattice_angstrom": [[4.0946, 0.0000, 0.0000], [0.0000, 3.9368, 0.0000], [-1.9105, 0.0000, 6.7121]], "species": ["Li", "Cd", "Cd", "Br"], "frac_coords": [[0.0000, 0.0000, 0.0000], [0.2959, 0.0000, 0.5583], [0.7748, 0.5000, 0.5138], [0.5554, 0.5000, 0.0359]]}

{"formula": "LiCd2Br", "functional": "GGA-PBE", "state": "optimized geometry", "m_tot_mub_per_cell": 0.000, "e_tot_ev_per_atom": -1.62, "e_form_raw_mev_per_atom": -268, "lattice_angstrom": [[-2.4014, 2.4014, 4.4517], [2.4014, -2.4014, 4.4517], [2.4014, 2.4014, -4.4517]], "species": ["Li", "Cd", "Cd", "Br"], "frac_coords": [[0.0000, 0.0000, 0.0000], [0.5000, 0.5000, 0.0000], [0.7500, 0.2500, 0.5000], [0.2500, 0.7500, 0.5000]]}

{"formula": "LiCd2Br", "functional": "GGA-PBE", "state": "optimized geometry", "m_tot_mub_per_cell": 0.000, "e_tot_ev_per_atom": -1.84, "e_form_raw_mev_per_atom": -487, "lattice_angstrom": [[-1.9742, 2.0453, 6.6175], [1.9742, -2.0453, 6.6175], [1.9742, 2.0453, -6.6175]], "species": ["Li", "Cd", "Cd", "Br"], "frac_coords": [[0.0000, 0.0000, 0.0000], [0.2485, 0.7485, 0.5000], [0.7515, 0.2515, 0.5000], [0.5000, 0.5000, 0.0000]]}

{"formula": "LiCd2Br", "functional": "GGA-PBE", "state": "optimized geometry", "m_tot_mub_per_cell": 0.000, "e_tot_ev_per_atom": -1.74, "e_form_raw_mev_per_atom": -385, "lattice_angstrom": [[2.7387, -4.9667, 0.0000], [2.7387, 4.9667, 0.0000], [0.0000, 0.0000, 3.8259]], "species": ["Li", "Cd", "Cd", "Br"], "frac_coords": [[0.0000, 0.0000, 0.0000], [0.0000, 0.5000, 0.5000], [0.5000, 0.0000, 0.5000], [0.5000, 0.5000, 0.0000]]}

{"formula": "Li2CdBr", "functional": "GGA-PBE", "state": "optimized geometry", "m_tot_mub_per_cell": 0.000, "e_tot_ev_per_atom": -2.13, "e_form_raw_mev_per_atom": -524, "lattice_angstrom": [[4.9018, 0.0000, 0.0000], [0.0000, 4.9018, 0.0000], [0.0000, 0.0000, 3.6084]], "species": ["Li", "Li", "Cd", "Br"], "frac_coords": [[0.0000, 0.5000, 0.0000], [0.5000, 0.0000, 0.0000], [0.0000, 0.0000, 0.5000], [0.5000, 0.5000, 0.5000]]}

{"formula": "LiCd2Br", "functional": "GGA-PBE", "state": "optimized geometry", "m_tot_mub_per_cell": 0.000, "e_tot_ev_per_atom": -1.75, "e_form_raw_mev_per_atom": -399, "lattice_angstrom": [[-1.8149, 3.0946, 4.8070], [1.8149, -3.0946, 4.8070], [1.8149, 3.0946, -4.8070]], "species": ["Li", "Cd", "Cd", "Br"], "frac_coords": [[0.0000, 0.0000, 0.0000], [0.2574, 0.7574, 0.5000], [0.5298, 0.5298, 0.0000], [0.8267, 0.3267, 0.5000]]}

{"formula": "LiCdBr", "functional": "GGA-PBE", "state": "optimized geometry", "m_tot_mub_per_cell": 0.000, "e_tot_ev_per_atom": -1.79, "e_form_raw_mev_per_atom": -293, "lattice_angstrom": [[0.0000, 3.6908, 3.6908], [3.6908, 0.0000, 3.6908], [3.6908, 3.6908, 0.0000]], "species": ["Li", "Cd", "Br"], "frac_coords": [[0.0000, 0.0000, 0.0000], [0.7500, 0.7500, 0.7500], [0.5000, 0.5000, 0.5000]]}

{"formula": "LiCd2Br", "functional": "GGA-PBE", "state": "optimized geometry", "m_tot_mub_per_cell": 0.000, "e_tot_ev_per_atom": -1.61, "e_form_raw_mev_per_atom": -255, "lattice_angstrom": [[3.4173, 0.0000, 0.0000], [0.0000, 3.4173, 0.0000], [0.0000, 0.0000, 8.3202]], "species": ["Li", "Cd", "Cd", "Br"], "frac_coords": [[0.0000, 0.0000, 0.0000], [0.5000, 0.5000, 0.2394], [0.5000, 0.5000, 0.7606], [0.0000, 0.0000, 0.5000]]}

{"formula": "LiCdBr", "functional": "GGA-PBE", "state": "optimized geometry", "m_tot_mub_per_cell": 0.000, "e_tot_ev_per_atom": -2.26, "e_form_raw_mev_per_atom": -764, "lattice_angstrom": [[14.0800, 0.0000, 0.0000], [0.0000, 2.1045, 3.6448], [0.0000, -2.1045, 3.6448]], "species": ["Li", "Li", "Cd", "Cd", "Br", "Br"], "frac_coords": [[0.2497, 0.0000, 0.0000], [0.7503, 0.0000, 0.0000], [0.0000, 0.0063, 0.0063], [0.5000, 0.9840, 0.9840], [0.2498, 0.3332, 0.3332], [0.7502, 0.3332, 0.3332]]}

{"formula": "LiCdBr", "functional": "GGA-PBE", "state": "optimized geometry", "m_tot_mub_per_cell": 0.000, "e_tot_ev_per_atom": -2.26, "e_form_raw_mev_per_atom": -760, "lattice_angstrom": [[-1.8266, 1.8266, 7.1560], [1.8266, -1.8266, 7.1560], [1.8266, 1.8266, -7.1560]], "species": ["Li", "Cd", "Br"], "frac_coords": [[0.0000, 0.0000, 0.0000], [0.7742, 0.7742, 0.0000], [0.5142, 0.5142, 0.0000]]}

{"formula": "Li2CdBr", "functional": "GGA-PBE", "state": "optimized geometry", "m_tot_mub_per_cell": 0.000, "e_tot_ev_per_atom": -2.30, "e_form_raw_mev_per_atom": -691, "lattice_angstrom": [[1.7805, 1.0280, 8.1345], [-1.7805, 1.0280, 8.1345], [0.0000, -2.0559, 8.1345]], "species": ["Li", "Li", "Cd", "Br"], "frac_coords": [[0.2344, 0.2344, 0.2344], [0.7656, 0.7656, 0.7656], [0.0000, 0.0000, 0.0000], [0.5000, 0.5000, 0.5000]]}

{"formula": "LiCd3Br", "functional": "GGA-PBE", "state": "optimized geometry", "m_tot_mub_per_cell": 0.000, "e_tot_ev_per_atom": -1.28, "e_form_raw_mev_per_atom": -13, "lattice_angstrom": [[5.2317, 0.0000, 0.0000], [0.0000, 5.2317, 0.0000], [0.0000, 0.0000, 5.2317]], "species": ["Li", "Cd", "Cd", "Cd", "Br"], "frac_coords": [[0.0000, 0.0000, 0.0000], [0.0000, 0.0000, 0.5000], [0.0000, 0.5000, 0.0000], [0.5000, 0.0000, 0.0000], [0.5000, 0.5000, 0.5000]]}

{"formula": "Li2CdBr", "functional": "GGA-PBE", "state": "optimized geometry", "m_tot_mub_per_cell": 0.000, "e_tot_ev_per_atom": -2.03, "e_form_raw_mev_per_atom": -425, "lattice_angstrom": [[0.0000, 3.5933, 3.5933], [3.5933, 0.0000, 3.5933], [3.5933, 3.5933, 0.0000]], "species": ["Li", "Li", "Cd", "Br"], "frac_coords": [[0.2500, 0.2500, 0.2500], [0.7500, 0.7500, 0.7500], [0.0000, 0.0000, 0.0000], [0.5000, 0.5000, 0.5000]]}

{"formula": "Li2CdBr", "functional": "GGA-PBE", "state": "optimized geometry", "m_tot_mub_per_cell": 0.000, "e_tot_ev_per_atom": -2.16, "e_form_raw_mev_per_atom": -554, "lattice_angstrom": [[-1.7370, 3.3850, 4.4194], [1.7370, -3.3850, 4.4194], [1.7370, 3.3850, -4.4194]], "species": ["Li", "Li", "Cd", "Br"], "frac_coords": [[0.2062, 0.2062, 0.0000], [0.7938, 0.7938, 0.0000], [0.5000, 0.0000, 0.5000], [0.0000, 0.5000, 0.5000]]}

{"formula": "LiCd2Br", "functional": "GGA-PBE", "state": "optimized geometry", "m_tot_mub_per_cell": 0.000, "e_tot_ev_per_atom": -1.41, "e_form_raw_mev_per_atom": -52, "lattice_angstrom": [[0.0000, 3.8849, 3.8849], [3.8849, 0.0000, 3.8849], [3.8849, 3.8849, 0.0000]], "species": ["Li", "Cd", "Cd", "Br"], "frac_coords": [[0.0000, 0.0000, 0.0000], [0.2500, 0.2500, 0.2500], [0.7500, 0.7500, 0.7500], [0.5000, 0.5000, 0.5000]]}

{"formula": "LiCdBr3", "functional": "GGA-PBE", "state": "optimized geometry", "m_tot_mub_per_cell": 0.000, "e_tot_ev_per_atom": -2.67, "e_form_raw_mev_per_atom": -1096, "lattice_angstrom": [[6.9926, -2.0364, 0.0000], [6.9926, 2.0364, 0.0000], [-0.6534, 0.0000, 11.4759]], "species": ["Li", "Li", "Cd", "Cd", "Br", "Br", "Br", "Br", "Br", "Br"], "frac_coords": [[0.1596, 0.1596, 0.4017], [0.8404, 0.8404, 0.5983], [0.4269, 0.4269, 0.2165], [0.5731, 0.5731, 0.7835], [0.1338, 0.1338, 0.9132], [0.3463, 0.3463, 0.4218], [0.3870, 0.3870, 0.7381], [0.6130, 0.6130, 0.2619], [0.6537, 0.6537, 0.5782], [0.8662, 0.8662, 0.0868]]}